Compound: AlAsPbBr2
Source: Alexandria
Functional: PBE
Structure: relaxed

VASP energy, eV for the cell shown: -16.44
DOS(E_F), states/eV/f.u.: 2.04
Offset from the most stable computed form, meV/atom: 0
SG: P4/mmm, No. 123

Cell: 5.056 5.056 5.208 Å, 90.00 90.00 90.00°
Element x y z (fractional)
Br1 0.000 0.500 0.000
Al1 0.000 0.000 0.000
Pb1 0.500 0.500 0.500
Br2 0.500 0.000 0.000
As1 0.000 0.000 0.500

Compound: TlFe2Ag
Source: Alexandria
Functional: PBE
Structure: relaxed

VASP energy, eV for the cell shown: -20.02
DOS(E_F), states/eV/f.u.: 3.00
Offset from the most stable computed form, meV/atom: 171
Formation enthalpy at 0 K, eV per formula unit: 2.1
SG: P2/m, No. 10

Cell: 4.001 2.905 6.419 Å, 63.67 90.00 90.00°
Element x y z (fractional)
Fe1 0.000 0.031 0.971
Fe2 0.000 0.469 0.529
Tl1 0.500 0.250 0.250
Ag1 0.500 0.750 0.750

Compound: Ce3ZnIn
Source: Alexandria
Functional: PBE
Structure: relaxed

VASP energy, eV for the cell shown: -90.10
DOS(E_F), states/eV/f.u.: 13.21
Offset from the most stable computed form, meV/atom: 0
Formation enthalpy at 0 K, eV per formula unit: -0.7
SG: Pnma, No. 62

Cell: 5.929 8.590 10.264 Å, 90.00 90.00 90.00°
Element x y z (fractional)
Ce1 0.250 0.250 0.750
Zn1 0.499 0.074 0.250
Ce2 0.500 0.622 0.887
In1 0.000 0.500 0.500
Ce3 0.750 0.750 0.250
Ce4 0.500 0.378 0.387
In2 0.000 0.500 0.000
Zn2 0.999 0.426 0.250
Ce5 0.250 0.750 0.250
In3 0.500 0.000 0.500
Zn3 0.501 0.926 0.750
Ce6 0.000 0.878 0.613
Ce7 0.000 0.878 0.887
Ce8 0.750 0.250 0.750
Ce9 0.000 0.122 0.387
Ce10 0.500 0.622 0.613
Zn4 0.001 0.574 0.750
Ce11 0.000 0.122 0.113
In4 0.500 0.000 0.000
Ce12 0.500 0.378 0.113

Compound: LaAgSn
Source: Alexandria
Functional: PBE
Structure: relaxed

VASP energy, eV for the cell shown: -26.57
DOS(E_F), states/eV/f.u.: 1.81
Formation enthalpy at 0 K, eV per formula unit: -1.5
SG: Cm, No. 8

Cell: 5.008 6.216 9.252 Å, 138.16 57.22 113.81°
Element x y z (fractional)
Sn1 0.252 0.137 0.625
La1 0.541 0.522 0.028
La2 0.040 0.363 0.449
Ag1 0.349 0.793 0.856
Sn2 0.750 0.747 0.432
Ag2 0.850 0.092 0.005

Compound: SrCa2TmSe4
Source: Alexandria
Functional: PBE
Structure: relaxed

VASP energy, eV for the cell shown: -39.41
DOS(E_F), states/eV/f.u.: 2.47
SG: P2/m, No. 10

Cell: 4.197 7.324 7.272 Å, 109.28 90.00 90.00°
Element x y z (fractional)
Ca1 0.000 0.500 0.500
Tm1 0.000 0.000 0.000
Ca2 0.500 0.000 0.500
Se1 0.000 0.235 0.746
Se2 0.500 0.764 0.755
Sr1 0.500 0.500 0.000
Se3 0.000 0.765 0.254
Se4 0.500 0.236 0.245

Compound: Ba2InOsO8
Source: Alexandria
Functional: PBE
Structure: relaxed

VASP energy, eV for the cell shown: -75.61
DOS(E_F), states/eV/f.u.: 2.27
SG: P-1, No. 2

Cell: 4.674 5.597 7.874 Å, 87.05 88.59 92.95°
Element x y z (fractional)
Os1 0.000 0.000 0.000
O1 0.589 0.902 0.982
O2 0.411 0.098 0.018
O3 0.926 0.131 0.214
Ba1 0.452 0.514 0.755
O4 0.074 0.869 0.786
In1 0.000 0.000 0.500
O5 0.702 0.738 0.492
O6 0.932 0.289 0.888
Ba2 0.548 0.486 0.245
O7 0.298 0.262 0.508
O8 0.068 0.711 0.112

Compound: RbYMn2Cl8
Source: Alexandria
Functional: PBE
Structure: relaxed

VASP energy, eV for the cell shown: -59.59
DOS(E_F), states/eV/f.u.: 0.00
SG: R32, No. 155

Cell: 6.448 6.448 11.166 Å, 73.22 73.22 60.00°
Element x y z (fractional)
Cl1 0.318 0.318 0.046
Cl2 0.230 0.867 0.337
Mn1 0.246 0.246 0.262
Cl3 0.565 0.230 0.337
Cl4 0.770 0.435 0.663
Mn2 0.754 0.754 0.738
Cl5 0.133 0.770 0.663
Y1 0.500 0.500 0.500
Cl6 0.435 0.133 0.663
Cl7 0.682 0.682 0.954
Cl8 0.867 0.565 0.337
Rb1 0.000 0.000 0.000

Compound: SrLiAlPd2
Source: Alexandria
Functional: PBE
Structure: relaxed

VASP energy, eV for the cell shown: -19.52
DOS(E_F), states/eV/f.u.: 2.73
Offset from the most stable computed form, meV/atom: 271
Formation enthalpy at 0 K, eV per formula unit: -1.8
SG: P4/mmm, No. 123

Cell: 4.796 4.805 4.796 Å, 90.00 90.00 90.00°
Element x y z (fractional)
Li1 0.000 0.500 0.000
Al1 0.000 0.000 0.000
Pd1 0.000 0.000 0.500
Sr1 0.500 0.500 0.500
Pd2 0.500 0.000 0.000

Compound: AcGeIrO6
Source: Alexandria
Functional: PBE
Structure: relaxed

VASP energy, eV for the cell shown: -127.57
DOS(E_F), states/eV/f.u.: 2.55
SG: P-31c, No. 163

Cell: 5.204 5.204 10.761 Å, 90.00 90.00 120.00°
Element x y z (fractional)
O1 0.992 0.620 0.351
O2 0.373 0.380 0.851
Ac1 0.000 0.000 0.500
O3 0.373 0.992 0.649
Ir1 0.333 0.667 0.250
Ac2 0.000 0.000 0.000
O4 0.380 0.008 0.149
O5 0.008 0.380 0.649
Ir2 0.667 0.333 0.750
O6 0.992 0.373 0.149
O7 0.380 0.373 0.351
Ge1 0.667 0.333 0.250
O8 0.627 0.620 0.149
O9 0.627 0.008 0.351
Ge2 0.333 0.667 0.750
O10 0.620 0.992 0.851
O11 0.008 0.627 0.851
O12 0.620 0.627 0.649

Compound: Ho4Ni2Te
Source: Alexandria
Functional: PBE
Structure: relaxed

VASP energy, eV for the cell shown: -72.74
DOS(E_F), states/eV/f.u.: 4.50
SG: Imma, No. 74

Cell: 8.003 8.003 8.003 Å, 119.79 107.10 102.07°
Element x y z (fractional)
Te1 0.163 0.663 0.500
Te2 0.087 0.087 0.000
Ho1 0.444 0.630 0.814
Ni1 0.125 0.375 0.750
Ni2 0.625 0.375 0.250
Ho2 0.888 0.178 0.290
Ni3 0.625 0.875 0.250
Ho3 0.434 0.120 0.314
Ho4 0.816 0.630 0.186
Ho5 0.362 0.153 0.790
Ho6 0.363 0.572 0.210
Ho7 0.806 0.120 0.686
Ni4 0.625 0.375 0.750
Ho8 0.887 0.597 0.710

Compound: La2Sn5Pd3
Source: Alexandria
Functional: PBE
Structure: relaxed

VASP energy, eV for the cell shown: -105.89
DOS(E_F), states/eV/f.u.: 3.25
Offset from the most stable computed form, meV/atom: 9
Formation enthalpy at 0 K, eV per formula unit: -7.5
SG: Cmc2_1, No. 36

Cell: 4.684 7.433 13.698 Å, 90.00 99.85 90.00°
Element x y z (fractional)
Pd1 0.222 0.220 0.444
La1 0.477 0.751 0.953
Pd2 0.052 0.968 0.103
La2 0.523 0.251 0.047
Sn1 0.951 0.085 0.901
Sn2 0.403 0.384 0.806
Sn3 0.121 0.255 0.241
Sn4 0.295 0.935 0.590
Sn5 0.049 0.585 0.099
Sn6 0.289 0.518 0.577
Pd3 0.394 0.010 0.788
Pd4 0.606 0.510 0.212
Pd5 0.778 0.720 0.556
La3 0.173 0.738 0.345
Sn7 0.597 0.884 0.194
Pd6 0.948 0.468 0.897
Sn8 0.711 0.018 0.423
Sn9 0.879 0.755 0.759
Sn10 0.705 0.435 0.410
La4 0.827 0.238 0.655

Compound: TiGaPt3
Source: Alexandria
Functional: PBE
Structure: relaxed

VASP energy, eV for the cell shown: -65.09
DOS(E_F), states/eV/f.u.: 3.09
Offset from the most stable computed form, meV/atom: 90
Formation enthalpy at 0 K, eV per formula unit: -3.5
SG: Pmmn, No. 59

Cell: 4.334 5.478 7.071 Å, 90.00 90.00 90.00°
Element x y z (fractional)
Ti1 0.750 0.250 0.123
Pt1 0.750 0.499 0.741
Ti2 0.250 0.750 0.877
Ga1 0.250 0.250 0.559
Ga2 0.750 0.750 0.441
Pt2 0.750 0.001 0.741
Pt3 0.250 0.501 0.259
Pt4 0.750 0.750 0.088
Pt5 0.250 0.250 0.912
Pt6 0.250 0.999 0.259